# 1
Below is a relaxed structure of Sm5Zn2Ge, with properties calculated at the PBE level.

```
data_Sm5Zn2Ge
_symmetry_space_group_name_H-M 'I 4/m c m'
_symmetry_Int_Tables_number 140
_symmetry_space_group_name_Hall '-I 4 2c'
_cell_length_a 7.553
_cell_length_b 7.553
_cell_length_c 15.049
_cell_angle_alpha 90.00
_cell_angle_beta 90.00
_cell_angle_gamma 90.00
loop_
_atom_site_label
_atom_site_type_symbol
_atom_site_fract_x
_atom_site_fract_y
_atom_site_fract_z
_atom_site_occupancy
Sm1 Sm 0.000 0.000 0.000 1
Sm2 Sm 0.167 0.333 0.153 1
Zn1 Zn 0.120 0.380 0.500 1
Ge1 Ge 0.000 0.000 0.250 1
```

calculated volume = 858.5 Å³/cell
E_form = -2.9 eV/f.u.
total magnetic moment = 0.00 μB/atom


# 2
Below is a relaxed structure of Sm3Zn4Ge2, with properties calculated at the PBE level.

```
data_Sm3Zn4Ge2
_symmetry_space_group_name_H-M 'C 1 2/m 1'
_symmetry_Int_Tables_number 12
_cell_length_a 10.917
_cell_length_b 4.330
_cell_length_c 8.532
_cell_angle_alpha 90.00
_cell_angle_beta 108.00
_cell_angle_gamma 90.00
loop_
_symmetry_equiv_pos_as_xyz
'x,y,z'
'-x,-y,-z'
'-x,y,-z'
'x,-y,z'
'x+1/2,y+1/2,z'
'-x+1/2,-y+1/2,-z'
'-x+1/2,y+1/2,-z'
'x+1/2,-y+1/2,z'
loop_
_atom_site_label
_atom_site_type_symbol
_atom_site_fract_x
_atom_site_fract_y
_atom_site_fract_z
_atom_site_occupancy
Sm1 Sm 0.000 0.000 0.000 1
Sm2 Sm 0.175 0.500 0.654 1
Zn1 Zn 0.022 0.000 0.362 1
Zn2 Zn 0.244 0.500 0.073 1
Ge1 Ge 0.110 0.500 0.275 1
```

calculated volume = 383.6 Å³/cell
E_form = -5.2 eV/f.u.
total magnetic moment = 0.00 μB/atom


# 3
Below is a relaxed structure of Sm3Zn2Ge3, with properties calculated at the PBE level.

```
data_Sm3Zn2Ge3
_symmetry_space_group_name_H-M 'C m c m'
_symmetry_Int_Tables_number 63
_symmetry_space_group_name_Hall '-C 2c 2'
_cell_length_a 4.239
_cell_length_b 11.036
_cell_length_c 15.278
_cell_angle_alpha 90.00
_cell_angle_beta 90.00
_cell_angle_gamma 90.00
loop_
_atom_site_label
_atom_site_type_symbol
_atom_site_fract_x
_atom_site_fract_y
_atom_site_fract_z
_atom_site_occupancy
Sm1 Sm 0.000 0.068 0.250 1
Sm2 Sm 0.000 0.362 0.097 1
Zn1 Zn 0.000 0.350 0.622 1
Ge1 Ge 0.000 0.086 0.052 1
Ge2 Ge 0.000 0.203 0.750 1
```

calculated volume = 714.6 Å³/cell
E_form = -5.1 eV/f.u.
total magnetic moment = 0.00 μB/atom


# 4
Below is a relaxed structure of Sm2ZrGe3, with properties calculated at the PBE level.

```
data_Sm2ZrGe3
_symmetry_space_group_name_H-M 'I m m m'
_symmetry_Int_Tables_number 71
_symmetry_space_group_name_Hall '-I 2 2'
_cell_length_a 4.131
_cell_length_b 5.802
_cell_length_c 12.254
_cell_angle_alpha 90.00
_cell_angle_beta 90.00
_cell_angle_gamma 90.00
loop_
_atom_site_label
_atom_site_type_symbol
_atom_site_fract_x
_atom_site_fract_y
_atom_site_fract_z
_atom_site_occupancy
Sm1 Sm 0.000 0.000 0.171 1
Zr1 Zr 0.000 0.000 0.500 1
Ge1 Ge 0.000 0.500 0.151 1
Ge2 Ge 0.000 0.500 0.500 1
```

calculated volume = 293.7 Å³/cell
E_form = -4.1 eV/f.u.
total magnetic moment = 0.00 μB/atom